# CsMn2VCl8 (GGA-PBE, relaxed)
# raw formation energy: -14.39 eV/f.u.
# magnetic moment: 36.00 μB/cell
# density of states at the Fermi level: 0.4746 states/eV per atom
# calculated volume: 1102.8 Å³/cell
# crystal system: trigonal
# VASP energy: -4.790 eV per atom
data_CsMn2VCl8
_cell_length_a 6.2606
_cell_length_b 6.2606
_cell_length_c 32.4896
_cell_angle_alpha 90.00
_cell_angle_beta 90.00
_cell_angle_gamma 120.00
_symmetry_space_group_name_H-M 'R 3 2'
_symmetry_Int_Tables_number 155
_symmetry_space_group_name_Hall 'R 3 2"'
loop_
_atom_site_label
_atom_site_type_symbol
_atom_site_fract_x
_atom_site_fract_y
_atom_site_fract_z
Cs1 Cs 0.0000 0.0000 0.0000
Mn1 Mn 0.0000 0.0000 0.2361
V1 V 0.0000 0.0000 0.5000
Cl1 Cl 0.0000 0.0000 0.3064
Cl2 Cl 0.0140 0.3068 0.5488